[1]
AlTlSbI2 | PBE | relaxed Values from VASP.

Values from the calculation:
Density of states at the Fermi level: 0.231 states/eV/atom
Raw formation energy: 435.5 meV per atom
Space-group type: No. 123
E above lowest polymorph: 484 meV/atom
Spin magnetization: 1.92 μB/cell

```
&SYSTEM
  ibrav = 0, nat = 5, ntyp = 4
/
ATOMIC_SPECIES
Al 26.98 Al.upf
Tl 204.38 Tl.upf
Sb 121.76 Sb.upf
I 126.90 I.upf
CELL_PARAMETERS angstrom
6.3886 0.0000 0.0000
0.0000 6.3886 0.0000
0.0000 0.0000 5.7971
ATOMIC_POSITIONS crystal
Al 0.0000 0.0000 0.0000
Tl 0.5000 0.5000 0.5000
Sb 0.5000 0.5000 0.0000
I 0.0000 0.5000 0.5000
I 0.5000 0.0000 0.5000
```



[2]
TbDy2Er8 | PBE | relaxed Values from VASP.

Values from the calculation:
Density of states at the Fermi level: 1.427 states/eV/atom
Space-group type: No. 71
Energy of formation: 117 meV/atom
E above lowest polymorph: 0 meV/atom
Spin magnetization: 0.00 μB/cell

```
&SYSTEM
  ibrav = 0, nat = 11, ntyp = 3
/
ATOMIC_SPECIES
Tb 158.93 Tb.upf
Dy 162.50 Dy.upf
Er 167.26 Er.upf
CELL_PARAMETERS angstrom
-2.7185 4.0053 7.8771
2.7185 -4.0053 7.8771
2.7185 4.0053 -7.8771
ATOMIC_POSITIONS crystal
Tb 0.0000 0.0000 0.0000
Dy 0.2993 0.2993 0.0000
Dy 0.7007 0.7007 0.0000
Er 0.1543 0.8616 0.2927
Er 0.1616 0.6616 0.5000
Er 0.2935 0.5000 0.7935
Er 0.4311 0.1384 0.2927
Er 0.5689 0.8616 0.7073
Er 0.7065 0.5000 0.2065
Er 0.8384 0.3384 0.5000
Er 0.8457 0.1384 0.7073
```



[3]
La2AgRh | PBE | relaxed Values from VASP.

Values from the calculation:
Density of states at the Fermi level: 1.079 states/eV/atom
Space-group type: No. 216
Energy of formation: -319 meV/atom
Spin magnetization: 0.00 μB/cell

```
&SYSTEM
  ibrav = 0, nat = 4, ntyp = 3
/
ATOMIC_SPECIES
La 138.91 La.upf
Ag 107.87 Ag.upf
Rh 102.91 Rh.upf
CELL_PARAMETERS angstrom
0.0000 3.5485 3.5485
3.5485 0.0000 3.5485
3.5485 3.5485 0.0000
ATOMIC_POSITIONS crystal
La 0.0000 0.0000 0.0000
La 0.2500 0.2500 0.2500
Ag 0.5000 0.5000 0.5000
Rh 0.7500 0.7500 0.7500
```



[4]
InHF | PBE | relaxed Values from VASP.

Values from the calculation:
Density of states at the Fermi level: 0.123 states/eV/atom
Space-group type: No. 2
E above lowest polymorph: 184 meV/atom
Spin magnetization: 0.00 μB/cell

```
&SYSTEM
  ibrav = 0, nat = 6, ntyp = 3
/
ATOMIC_SPECIES
In 114.82 In.upf
H 1.01 H.upf
F 19.00 F.upf
CELL_PARAMETERS angstrom
3.8505 0.0000 0.0000
1.5168 4.0982 0.0000
1.6154 0.2428 5.2742
ATOMIC_POSITIONS crystal
In 0.0782 0.2563 0.2052
In 0.9218 0.7437 0.7948
H 0.3776 0.8829 0.8294
H 0.6224 0.1171 0.1706
F 0.1783 0.7211 0.3818
F 0.8217 0.2789 0.6182
```



[5]
Pm2Mn2Se2S3 | PBE | relaxed Values from VASP.

Values from the calculation:
Density of states at the Fermi level: 0.207 states/eV/atom
Raw formation energy: -1114.6 meV per atom
Space-group type: No. 139
Spin magnetization: 9.52 μB/cell

```
&SYSTEM
  ibrav = 0, nat = 9, ntyp = 4
/
ATOMIC_SPECIES
Pm 145.00 Pm.upf
Mn 54.94 Mn.upf
Se 78.96 Se.upf
S 32.06 S.upf
CELL_PARAMETERS angstrom
-2.3342 2.3342 9.3788
2.3342 -2.3342 9.3788
2.3342 2.3342 -9.3788
ATOMIC_POSITIONS crystal
Pm 0.1719 0.1719 0.0000
Pm 0.8281 0.8281 0.0000
Mn 0.0000 0.5000 0.5000
Mn 0.5000 0.0000 0.5000
Se 0.4070 0.4070 0.0000
Se 0.5930 0.5930 0.0000
S 0.0000 0.0000 0.0000
S 0.2500 0.7500 0.5000
S 0.7500 0.2500 0.5000
```



[6]
CuBrN2 | PBE | relaxed Values from VASP.

Values from the calculation:
Density of states at the Fermi level: 0.522 states/eV/atom
Raw formation energy: 1280.1 meV per atom
Space-group type: No. 166
E above lowest polymorph: 1367 meV/atom
Spin magnetization: 0.00 μB/cell

```
&SYSTEM
  ibrav = 0, nat = 4, ntyp = 3
/
ATOMIC_SPECIES
Cu 63.55 Cu.upf
Br 79.90 Br.upf
N 14.01 N.upf
CELL_PARAMETERS angstrom
1.5862 0.9158 5.8265
-1.5862 0.9158 5.8265
0.0000 -1.8316 5.8265
ATOMIC_POSITIONS crystal
Cu 0.0000 0.0000 0.0000
Br 0.5000 0.5000 0.5000
N 0.3844 0.3844 0.3844
N 0.6156 0.6156 0.6156
```



[7]
AsP2Pb | PBE | relaxed Values from VASP.

Values from the calculation:
Density of states at the Fermi level: 0.765 states/eV/atom
Space-group type: No. 225
Energy of formation: 614 meV/atom
E above lowest polymorph: 413 meV/atom
Spin magnetization: 0.00 μB/cell

```
&SYSTEM
  ibrav = 0, nat = 4, ntyp = 3
/
ATOMIC_SPECIES
As 74.92 As.upf
P 30.97 P.upf
Pb 207.20 Pb.upf
CELL_PARAMETERS angstrom
0.0000 3.4225 3.4225
3.4225 0.0000 3.4225
3.4225 3.4225 0.0000
ATOMIC_POSITIONS crystal
As 0.0000 0.0000 0.0000
P 0.2500 0.2500 0.2500
P 0.7500 0.7500 0.7500
Pb 0.5000 0.5000 0.5000
```



[8]
Ba2ReBO6 | PBE | relaxed Values from VASP.

Values from the calculation:
Density of states at the Fermi level: 0.135 states/eV/atom
Raw formation energy: -2044.4 meV per atom
Space-group type: No. 139
Spin magnetization: 2.00 μB/cell

```
&SYSTEM
  ibrav = 0, nat = 10, ntyp = 4
/
ATOMIC_SPECIES
Ba 137.33 Ba.upf
Re 186.21 Re.upf
B 10.81 B.upf
O 16.00 O.upf
CELL_PARAMETERS angstrom
-3.1967 3.1967 3.4387
3.1967 -3.1967 3.4387
3.1967 3.1967 -3.4387
ATOMIC_POSITIONS crystal
Ba 0.2500 0.7500 0.5000
Ba 0.7500 0.2500 0.5000
Re 0.0000 0.0000 0.0000
B 0.5000 0.5000 0.0000
O 0.2149 0.2149 0.4299
O 0.2149 0.7851 0.0000
O 0.3128 0.3128 0.0000
O 0.6872 0.6872 0.0000
O 0.7851 0.2149 0.0000
O 0.7851 0.7851 0.5701
```